Arrangement i

# SnAu2C

An optimized crystal structure of SnAu2C (PBE-GGA, Alexandria).

Summary:
Volume   17.51 Å³/atom
Space-group type   Fm-3m

```
16
Lattice="6.5431 0.0000 0.0000 0.0000 6.5431 0.0000 0.0000 0.0000 6.5431" Properties=species:S:1:pos:R:3 pbc="T T T"
Sn 0.0000 0.0000 0.0000
Sn 0.0000 3.2716 3.2716
Sn 3.2716 0.0000 3.2716
Sn 3.2716 3.2716 0.0000
Au 1.6358 1.6358 1.6358
Au 1.6358 1.6358 4.9073
Au 1.6358 4.9073 1.6358
Au 1.6358 4.9073 4.9073
Au 4.9073 1.6358 1.6358
Au 4.9073 1.6358 4.9073
Au 4.9073 4.9073 1.6358
Au 4.9073 4.9073 4.9073
C 0.0000 0.0000 3.2716
C 0.0000 3.2716 0.0000
C 3.2716 0.0000 0.0000
C 3.2716 3.2716 3.2716
```

=====

Arrangement ii

# SnAu2C

An optimized crystal structure of SnAu2C (PBE-GGA, Alexandria).

Summary:
Volume   20.96 Å³/atom
Space-group type   I-42d

```
16
Lattice="5.2043 0.0000 0.0000 0.0000 5.2043 0.0000 0.0000 0.0000 12.3810" Properties=species:S:1:pos:R:3 pbc="T T T"
Sn 0.0000 0.0000 0.0000
Sn 0.0000 2.6021 3.0952
Sn 2.6021 0.0000 9.2857
Sn 2.6021 2.6021 6.1905
Au 0.6167 1.3011 7.7381
Au 1.3011 3.2188 10.8334
Au 1.3011 4.5876 4.6429
Au 1.9854 1.3011 1.5476
Au 3.2188 3.9032 1.5476
Au 3.9032 0.6167 4.6429
Au 3.9032 1.9854 10.8334
Au 4.5876 3.9032 7.7381
C 0.0000 0.0000 6.1905
C 0.0000 2.6021 9.2857
C 2.6021 0.0000 3.0952
C 2.6021 2.6021 0.0000
```

=====

Q: Which of them is the most stable? A: arrangement ii.

=====

Arrangement i

# SnAuC3

An optimized crystal structure of SnAuC3 (PBE-GGA, Alexandria).

Summary:
Volume   15.92 Å³/atom
Space-group type   Pm-3m

```
5
Lattice="4.3014 0.0000 0.0000 0.0000 4.3014 0.0000 0.0000 0.0000 4.3014" Properties=species:S:1:pos:R:3 pbc="T T T"
Sn 0.0000 0.0000 0.0000
Au 2.1507 2.1507 2.1507
C 0.0000 0.0000 2.1507
C 0.0000 2.1507 0.0000
C 2.1507 0.0000 0.0000
```

=====

Arrangement ii

# SnAuC3

An optimized crystal structure of SnAuC3 (PBE-GGA, Alexandria).

Summary:
Volume   15.01 Å³/atom
Space-group type   Pm-3m

```
5
Lattice="4.2185 0.0000 0.0000 0.0000 4.2185 0.0000 0.0000 0.0000 4.2185" Properties=species:S:1:pos:R:3 pbc="T T T"
Sn 0.0000 0.0000 0.0000
Au 2.1093 2.1093 2.1093
C 0.0000 2.1093 2.1093
C 2.1093 0.0000 2.1093
C 2.1093 2.1093 0.0000
```

=====

Q: Which of them is the most stable? A: arrangement ii.

=====

Arrangement i

# SnAu3C

An optimized crystal structure of SnAu3C (PBE-GGA, Alexandria).

Summary:
Volume   18.22 Å³/atom
Space-group type   Pm-3m

```
5
Lattice="4.4994 0.0000 0.0000 0.0000 4.4994 0.0000 0.0000 0.0000 4.4994" Properties=species:S:1:pos:R:3 pbc="T T T"
Sn 0.0000 0.0000 0.0000
Au 0.0000 2.2497 2.2497
Au 2.2497 0.0000 2.2497
Au 2.2497 2.2497 0.0000
C 2.2497 2.2497 2.2497
```

=====

Arrangement ii

# SnAu3C

An optimized crystal structure of SnAu3C (PBE-GGA, Alexandria).

Summary:
Volume   28.71 Å³/atom
Space-group type   Pm-3m

```
5
Lattice="5.2359 0.0000 0.0000 0.0000 5.2359 0.0000 0.0000 0.0000 5.2359" Properties=species:S:1:pos:R:3 pbc="T T T"
Sn 0.0000 0.0000 0.0000
Au 0.0000 0.0000 2.6180
Au 0.0000 2.6180 0.0000
Au 2.6180 0.0000 0.0000
C 2.6180 2.6180 2.6180
```

=====

Q: Which of them is the most stable? A: arrangement i.

=====

Arrangement i

# Sn2AuC2

An optimized crystal structure of Sn2AuC2 (PBE-GGA, Alexandria).

Summary:
Volume   18.94 Å³/atom
Space-group type   I4/mmm

```
10
Lattice="5.8261 0.0000 0.0000 0.0000 5.8261 0.0000 0.0000 0.0000 5.5801" Properties=species:S:1:pos:R:3 pbc="T T T"
Sn 0.0000 2.9130 1.3950
Sn 0.0000 2.9130 4.1851
Sn 2.9130 0.0000 1.3950
Sn 2.9130 0.0000 4.1851
Au 0.0000 0.0000 0.0000
Au 2.9130 2.9130 2.7900
C 0.0000 0.0000 2.1462
C 0.0000 0.0000 3.4339
C 2.9130 2.9130 0.6438
C 2.9130 2.9130 4.9363
```

=====

Arrangement ii

# Sn2AuC2

An optimized crystal structure of Sn2AuC2 (PBE-GGA, Alexandria).

Summary:
Volume   17.46 Å³/atom
Space-group type   P4/mbm

```
10
Lattice="7.0119 0.0000 0.0000 0.0000 7.0119 0.0000 0.0000 0.0000 3.5515" Properties=species:S:1:pos:R:3 pbc="T T T"
Sn 1.0049 2.5011 0.0000
Sn 2.5011 6.0070 0.0000
Sn 4.5109 1.0049 0.0000
Sn 6.0070 4.5109 0.0000
Au 0.0000 0.0000 1.7758
Au 3.5060 3.5060 1.7758
C 1.6330 5.1390 1.7758
C 1.8730 1.6330 1.7758
C 5.1390 5.3789 1.7758
C 5.3789 1.8730 1.7758
```

=====

Q: Which of them is the most stable? A: arrangement i.

=====

Arrangement i

# TaAuC2

An optimized crystal structure of TaAuC2 (PBE-GGA, Alexandria).

Summary:
Volume   11.55 Å³/atom
Space-group type   Fm-3m

```
16
Lattice="5.6954 0.0000 0.0000 0.0000 5.6954 0.0000 0.0000 0.0000 5.6954" Properties=species:S:1:pos:R:3 pbc="T T T"
Ta 0.0000 0.0000 0.0000
Ta 0.0000 2.8477 2.8477
Ta 2.8477 0.0000 2.8477
Ta 2.8477 2.8477 0.0000
Au 0.0000 0.0000 2.8477
Au 0.0000 2.8477 0.0000
Au 2.8477 0.0000 0.0000
Au 2.8477 2.8477 2.8477
C 1.4239 1.4239 1.4239
C 1.4239 1.4239 4.2716
C 1.4239 4.2716 1.4239
C 1.4239 4.2716 4.2716
C 4.2716 1.4239 1.4239
C 4.2716 1.4239 4.2716
C 4.2716 4.2716 1.4239
C 4.2716 4.2716 4.2716
```

=====

Arrangement ii

# TaAuC2

An optimized crystal structure of TaAuC2 (PBE-GGA, Alexandria).

Summary:
Volume   14.69 Å³/atom
Space-group type   I-42d

```
16
Lattice="4.9162 0.0000 0.0000 0.0000 4.9162 0.0000 0.0000 0.0000 9.7276" Properties=species:S:1:pos:R:3 pbc="T T T"
Ta 0.0000 0.0000 0.0000
Ta 0.0000 2.4581 2.4319
Ta 2.4581 0.0000 7.2957
Ta 2.4581 2.4581 4.8638
Au 0.0000 0.0000 4.8638
Au 0.0000 2.4581 7.2957
Au 2.4581 0.0000 2.4319
Au 2.4581 2.4581 0.0000
C 1.1254 1.2290 1.2160
C 1.2290 3.5835 3.6479
C 1.2290 3.7908 8.5117
C 1.3327 1.2290 6.0798
C 3.5835 3.6871 6.0798
C 3.6871 1.1254 8.5117
C 3.6871 1.3327 3.6479
C 3.7908 3.6871 1.2160
```

=====

Q: Which of them is the most stable? A: arrangement ii.

=====

Arrangement i

# TaAu2C2

An optimized crystal structure of TaAu2C2 (PBE-GGA, Alexandria).

Summary:
Volume   14.47 Å³/atom
Space-group type   P4/mbm

```
10
Lattice="7.0564 0.0000 0.0000 0.0000 7.0564 0.0000 0.0000 0.0000 2.9054" Properties=species:S:1:pos:R:3 pbc="T T T"
Ta 0.0000 0.0000 0.0000
Ta 3.5282 3.5282 0.0000
Au 0.9197 2.6085 0.0000
Au 2.6085 6.1367 0.0000
Au 4.4479 0.9197 0.0000
Au 6.1367 4.4479 0.0000
C 1.4751 5.0033 1.4527
C 2.0531 1.4751 1.4527
C 5.0033 5.5813 1.4527
C 5.5813 2.0531 1.4527
```

=====

Arrangement ii

# TaAu2C2

An optimized crystal structure of TaAu2C2 (PBE-GGA, Alexandria).

Summary:
Volume   13.36 Å³/atom
Space-group type   I4/mmm

```
10
Lattice="2.7330 0.0000 0.0000 0.0000 2.7330 0.0000 0.0000 0.0000 17.8902" Properties=species:S:1:pos:R:3 pbc="T T T"
Ta 0.0000 0.0000 0.0000
Ta 1.3665 1.3665 8.9451
Au 0.0000 0.0000 6.7500
Au 0.0000 0.0000 11.1402
Au 1.3665 1.3665 2.1951
Au 1.3665 1.3665 15.6951
C 0.0000 1.3665 4.4725
C 0.0000 1.3665 13.4176
C 1.3665 0.0000 4.4725
C 1.3665 0.0000 13.4176
```

=====

Arrangement iii

# TaAu2C2

An optimized crystal structure of TaAu2C2 (PBE-GGA, Alexandria).

Summary:
Volume   21.87 Å³/atom
Space-group type   P4/mmm

```
5
Lattice="5.2651 0.0000 0.0000 0.0000 5.2651 0.0000 0.0000 0.0000 3.9442" Properties=species:S:1:pos:R:3 pbc="T T T"
Ta 0.0000 0.0000 0.0000
Au 0.0000 2.6326 0.0000
Au 2.6326 0.0000 0.0000
C 0.0000 0.0000 1.9721
C 2.6326 2.6326 1.9721
```

=====

Q: Which of them is the most stable? A: arrangement ii.